(1)
This record from Alexandria describes a geometry-optimized Zn2SiSn structure. The functional is PBE.

It has space group I-42d (No. 122), with a = 7.514 Å, b = 7.514 Å, c = 5.597 Å, α = 90.00°, β = 90.00° and γ = 90.00°. The distinct sites, in fractional coordinates, are Zn at (0.206, 0.250, 0.125), Si at (0.000, 0.000, 0.000) and Sn at (0.000, 0.000, 0.500).

The total energy comes out at -2.72 eV/atom. The value obtained for the density of states at the Fermi level is 7.9 states/eV per cell. The calculation puts the polymorph energy (0 for the lowest one) at 0.0000 eV/atom. The crystal system is tetragonal.

(2)
This record from Alexandria describes a geometry-optimized ThNi2H8Pd structure. The functional is PBE.

It has space group P-3m1 (No. 164), with a = 4.6690 Å, b = 4.6690 Å, c = 6.4318 Å, α = 90.00°, β = 90.00° and γ = 120.00°. The distinct sites, in fractional coordinates, are Th at (0.0000, 0.0000, 0.0000), Ni at (0.3333, 0.6667, 0.1910), H at (0.1620, 0.3240, 0.3245), H at (0.3333, 0.6667, 0.9504) and Pd at (0.0000, 0.0000, 0.5000).

The total energy comes out at -4.34 eV/atom. The value obtained for the density of states at the Fermi level is 1.3 states/eV per cell. The crystal system is trigonal.

(3)
This record from Alexandria describes a geometry-optimized B2AsO2 structure. The functional is PBE.

It has space group I4/mmm (No. 139), with a = 3.200 Å, b = 3.200 Å, c = 11.220 Å, α = 90.00°, β = 90.00° and γ = 90.00°. The distinct sites, in fractional coordinates, are B at (0.000, 0.500, 0.250), As at (0.000, 0.000, 0.000) and O at (0.000, 0.000, 0.265).

The total energy comes out at -5.16 eV/atom. The value obtained for the density of states at the Fermi level is 3.4 states/eV per cell. The calculation puts the polymorph energy (0 for the lowest one) at 1.6437 eV/atom. The crystal system is tetragonal.

(4)
This record from Alexandria describes a geometry-optimized CuReNi2 structure. The functional is PBE.

It has space group Pmmm (No. 47), with a = 2.594 Å, b = 3.647 Å, c = 5.162 Å, α = 90.00°, β = 90.00° and γ = 90.00°. The distinct sites, in fractional coordinates, are Cu at (0.000, 0.000, 0.000), Re at (0.000, 0.000, 0.500) and Ni at (0.500, 0.500, 0.254).

The total energy comes out at -6.95 eV/atom. For the formation enthalpy at 0 K, the calculation gives 0.0743 eV/atom. The value obtained for the density of states at the Fermi level is 3.8 states/eV per cell. The calculation puts the polymorph energy (0 for the lowest one) at 0.0858 eV/atom. The crystal system is orthorhombic.

(5)
This record from Alexandria describes a geometry-optimized InNiAu2 structure. The functional is PBE.

It has space group P2/m (No. 10), with a = 3.056 Å, b = 4.286 Å, c = 5.560 Å, α = 90.00°, β = 105.78° and γ = 90.00°. The distinct sites, in fractional coordinates, are In at (0.000, 0.000, 0.000), Ni at (0.000, 0.000, 0.500) and Au at (0.422, 0.500, 0.733).

The total energy comes out at -3.72 eV/atom. For the formation enthalpy at 0 K, the calculation gives 0.0448 eV/atom. The value obtained for the density of states at the Fermi level is 2.1 states/eV per cell. The crystal system is monoclinic.

(6)
This record from Alexandria describes a geometry-optimized ZrSiAs2 structure. The functional is PBE.

It has space group Imm2 (No. 44), with a = 3.501 Å, b = 4.625 Å, c = 8.802 Å, α = 90.00°, β = 90.00° and γ = 90.00°. The distinct sites, in fractional coordinates, are Zr at (0.000, 0.000, 0.000), Si at (0.000, 0.500, 0.240), As at (0.000, 0.000, 0.530) and As at (0.000, 0.500, 0.776).

The total energy comes out at -6.10 eV/atom. The value obtained for the density of states at the Fermi level is 4.5 states/eV per cell. The calculation puts the polymorph energy (0 for the lowest one) at 0.3507 eV/atom. The crystal system is orthorhombic.

(7)
This record from Alexandria describes a geometry-optimized LiH2Pb structure. The functional is PBE.

It has space group R-3m (No. 166, hexagonal axes), with a = 3.2496 Å, b = 3.2496 Å, c = 17.9612 Å, α = 90.00°, β = 90.00° and γ = 120.00°. The distinct sites, in fractional coordinates, are Li at (0.0000, 0.0000, 0.0000), H at (0.0000, 0.0000, 0.2769) and Pb at (0.0000, 0.0000, 0.5000).

The total energy comes out at -2.92 eV/atom. The value obtained for the density of states at the Fermi level is 2.8 states/eV per cell. The calculation puts the polymorph energy (0 for the lowest one) at 0.2594 eV/atom. The crystal system is trigonal.

(8)
This record from Alexandria describes a geometry-optimized PmGdI2 structure. The functional is PBE.

It has space group R-3m (No. 166, hexagonal axes), with a = 3.9182 Å, b = 3.9182 Å, c = 32.5786 Å, α = 90.00°, β = 90.00° and γ = 120.00°. The distinct sites, in fractional coordinates, are Pm at (0.0000, 0.0000, 0.0000), Gd at (0.0000, 0.0000, 0.5000) and I at (0.0000, 0.0000, 0.4030).

The total energy comes out at -6.21 eV/atom. The value obtained for the density of states at the Fermi level is 20.7 states/eV per cell. The crystal system is trigonal.

(9)
This record from Alexandria describes a geometry-optimized Zr2Sc2C3 structure. The functional is PBE.

It has space group C2/m (No. 12), with a = 13.306 Å, b = 3.297 Å, c = 4.939 Å, α = 90.00°, β = 94.96° and γ = 90.00°. The distinct sites, in fractional coordinates, are Zr at (0.072, 0.000, 0.262), Sc at (0.193, 0.500, 0.745), C at (0.000, 0.500, 0.500) and C at (0.192, 0.500, 0.231).

The total energy comes out at -8.57 eV/atom. For the formation enthalpy at 0 K, the calculation gives -0.3628 eV/atom. The value obtained for the density of states at the Fermi level is 6.7 states/eV per cell. The crystal system is monoclinic.

(10)
This record from Alexandria describes a geometry-optimized ZnGe3W structure. The functional is PBE.

It has space group Pm-3m (No. 221), with a = 4.929 Å, b = 4.929 Å, c = 4.929 Å, α = 90.00°, β = 90.00° and γ = 90.00°. The distinct sites, in fractional coordinates, are Zn at (0.000, 0.000, 0.000), Ge at (0.000, 0.500, 0.500) and W at (0.500, 0.500, 0.500).

The total energy comes out at -5.16 eV/atom. For the formation enthalpy at 0 K, the calculation gives 0.4571 eV/atom. The value obtained for the density of states at the Fermi level is 3.5 states/eV per cell. The calculation puts the polymorph energy (0 for the lowest one) at 0.0000 eV/atom. The crystal system is cubic.

(11)
This record from Alexandria describes a geometry-optimized ScMnFeSi2 structure. The functional is PBE.

It has space group I-4m2 (No. 119), with a = 3.763 Å, b = 3.763 Å, c = 10.108 Å, α = 90.00°, β = 90.00° and γ = 90.00°. The distinct sites, in fractional coordinates, are Sc at (0.000, 0.000, 0.000), Mn at (0.000, 0.500, 0.750), Fe at (0.000, 0.500, 0.250) and Si at (0.000, 0.000, 0.383).

The total energy comes out at -7.57 eV/atom. The value obtained for the density of states at the Fermi level is 5.7 states/eV per cell. The crystal system is tetragonal.

(12)
This record from Alexandria describes a geometry-optimized Sb2TeBr2 structure. The functional is PBE.

It has space group I4/mmm (No. 139), with a = 4.661 Å, b = 4.661 Å, c = 13.949 Å, α = 90.00°, β = 90.00° and γ = 90.00°. The distinct sites, in fractional coordinates, are Sb at (0.000, 0.000, 0.104), Te at (0.000, 0.000, 0.500) and Br at (0.000, 0.500, 0.250).

The total energy comes out at -2.80 eV/atom. The value obtained for the density of states at the Fermi level is 4.9 states/eV per cell. The calculation puts the polymorph energy (0 for the lowest one) at 0.1366 eV/atom. The crystal system is tetragonal.